(1)
{
  "formula": "CaLa3Ru",
  "functional": "GGA-PBE",
  "state": "optimized geometry",
  "vol_a3_per_atom": 33.3,
  "sg": "Pm-3m, No. 221",
  "e_tot_ev_per_cell": -18.58,
  "formation_enthalpy_0k_ev_per_atom": 1.496,
  "m_tot_mub_per_cell": 0.000,
  "mass_density_g_cm3": 5.6,
  "lattice_angstrom": [[5.502, 0.000, 0.000], [0.000, 5.502, 0.000], [0.000, 0.000, 5.502]],
  "species": ["Ru", "Ca", "La", "La", "La"],
  "fractional_positions": [[0.500, 0.500, 0.500], [0.000, 0.000, 0.000], [0.000, 0.500, 0.000], [0.000, 0.000, 0.500], [0.500, 0.000, 0.000]]
}

---

(2)
{
  "formula": "CeH2Br",
  "functional": "GGA-PBE",
  "state": "optimized geometry",
  "vol_a3_per_atom": 16.2,
  "sg": "P4/mmm, No. 123",
  "e_tot_ev_per_cell": -15.90,
  "m_tot_mub_per_cell": 0.998,
  "mass_density_g_cm3": 5.7,
  "lattice_angstrom": [[3.346, 0.000, 0.000], [0.000, 3.346, 0.000], [0.000, 0.000, 5.771]],
  "species": ["H", "H", "Br", "Ce"],
  "fractional_positions": [[0.000, 0.000, 0.845], [0.000, 0.000, 0.155], [0.500, 0.500, 0.500], [0.500, 0.500, 0.000]]
}

---

(3)
{
  "formula": "ZnAgP2",
  "functional": "GGA-PBE",
  "state": "optimized geometry",
  "vol_a3_per_atom": 16.8,
  "sg": "Cmm2, No. 35",
  "e_tot_ev_per_cell": -13.38,
  "formation_enthalpy_0k_ev_per_atom": 0.391,
  "m_tot_mub_per_cell": 0.000,
  "mass_density_g_cm3": 5.8,
  "lattice_angstrom": [[3.038, 0.024, 0.000], [-1.433, 2.679, 0.000], [0.000, 0.000, 8.210]],
  "species": ["Ag", "P", "P", "Zn"],
  "fractional_positions": [[0.500, 0.500, 0.748], [0.000, 0.000, 0.035], [0.500, 0.500, 0.233], [0.000, 0.000, 0.484]]
}

---

(4)
{
  "formula": "CsPuTe",
  "functional": "GGA-PBE",
  "state": "optimized geometry",
  "vol_a3_per_atom": 48.7,
  "sg": "P-6m2, No. 187",
  "e_tot_ev_per_cell": -19.33,
  "m_tot_mub_per_cell": 6.845,
  "mass_density_g_cm3": 5.7,
  "e_form_raw_mev_per_atom": -333,
  "lattice_angstrom": [[5.797, 0.000, 0.000], [0.000, 5.394, 0.000], [0.000, -2.697, 4.671]],
  "species": ["Cs", "Te", "Pu"],
  "fractional_positions": [[0.667, 0.667, 0.333], [0.166, 0.000, 0.000], [0.167, 0.333, 0.667]]
}

---

(5)
{
  "formula": "HfThPt6",
  "functional": "GGA-PBE",
  "state": "optimized geometry",
  "vol_a3_per_atom": 17.7,
  "sg": "P4/mmm, No. 123",
  "e_tot_ev_per_cell": -62.26,
  "formation_enthalpy_0k_ev_per_atom": -1.080,
  "m_tot_mub_per_cell": 0.000,
  "mass_density_g_cm3": 18.6,
  "lattice_angstrom": [[-2.903, 2.921, -0.445], [-2.157, -2.522, -2.478], [-4.014, -2.993, 6.541]],
  "species": ["Hf", "Th", "Pt", "Pt", "Pt", "Pt", "Pt", "Pt"],
  "fractional_positions": [[0.000, 0.000, 0.500], [0.000, 0.000, 0.000], [0.500, 0.500, 0.000], [0.500, 0.500, 0.500], [0.500, 0.000, 0.264], [0.500, 0.000, 0.736], [0.000, 0.500, 0.264], [0.000, 0.500, 0.736]]
}

---

(6)
{
  "formula": "ZnGa2Sn",
  "functional": "GGA-PBE",
  "state": "optimized geometry",
  "vol_a3_per_atom": 21.0,
  "sg": "Fm-3m, No. 225",
  "e_tot_ev_per_cell": -10.86,
  "formation_enthalpy_0k_ev_per_atom": 0.118,
  "m_tot_mub_per_cell": 0.000,
  "mass_density_g_cm3": 6.4,
  "lattice_angstrom": [[0.000, 3.478, 3.478], [3.478, 0.000, 3.478], [3.478, 3.478, 0.000]],
  "species": ["Zn", "Sn", "Ga", "Ga"],
  "fractional_positions": [[0.000, 0.000, 0.000], [0.500, 0.500, 0.500], [0.250, 0.250, 0.250], [0.750, 0.750, 0.750]]
}

---

(7)
{
  "formula": "NaNdPaSe4",
  "functional": "GGA-PBE",
  "state": "optimized geometry",
  "vol_a3_per_atom": 32.7,
  "sg": "Imma, No. 74",
  "e_tot_ev_per_cell": -80.20,
  "m_tot_mub_per_cell": 2.039,
  "mass_density_g_cm3": 5.2,
  "e_form_raw_mev_per_atom": -1511,
  "lattice_angstrom": [[-7.893, -3.147, -1.304], [6.923, -4.795, -1.996], [-1.989, 1.543, 8.319]],
  "species": ["Na", "Na", "Nd", "Nd", "Pa", "Pa", "Se", "Se", "Se", "Se", "Se", "Se", "Se", "Se"],
  "fractional_positions": [[0.877, 0.754, 0.127], [0.123, 0.246, 0.873], [0.500, 0.000, 0.500], [0.500, 0.000, 0.000], [0.500, 0.500, 0.500], [0.000, 0.500, 0.500], [0.743, 0.486, 0.715], [0.284, 0.036, 0.268], [0.752, 0.036, 0.268], [0.743, 0.486, 0.271], [0.257, 0.514, 0.729], [0.716, 0.964, 0.732], [0.248, 0.964, 0.732], [0.257, 0.514, 0.285]]
}

---

(8)
{
  "formula": "NbV2Te5",
  "functional": "GGA-PBE",
  "state": "optimized geometry",
  "vol_a3_per_atom": 32.5,
  "sg": "C2/m, No. 12",
  "e_tot_ev_per_cell": -44.29,
  "m_tot_mub_per_cell": 1.430,
  "mass_density_g_cm3": 5.3,
  "e_form_raw_mev_per_atom": -35,
  "lattice_angstrom": [[-3.649, 2.884, 3.348], [-4.477, -4.523, 3.921], [3.137, 0.876, 6.028]],
  "species": ["Nb", "V", "V", "Te", "Te", "Te", "Te", "Te"],
  "fractional_positions": [[0.500, 0.500, 0.500], [0.685, 0.500, 0.873], [0.315, 0.500, 0.127], [0.229, 0.770, 0.817], [0.501, 0.770, 0.183], [0.000, 0.500, 0.500], [0.771, 0.230, 0.183], [0.499, 0.230, 0.817]]
}

---

(9)
{
  "formula": "Si2W2I",
  "functional": "GGA-PBE",
  "state": "optimized geometry",
  "vol_a3_per_atom": 18.7,
  "sg": "I4/mmm, No. 139",
  "e_tot_ev_per_cell": -35.01,
  "m_tot_mub_per_cell": 0.000,
  "mass_density_g_cm3": 9.8,
  "e_form_raw_mev_per_atom": 659,
  "lattice_angstrom": [[4.465, 0.000, 0.000], [0.000, 4.465, 0.000], [2.233, 2.233, 4.687]],
  "species": ["I", "Si", "Si", "W", "W"],
  "fractional_positions": [[0.000, 0.000, 0.000], [0.374, 0.374, 0.253], [0.626, 0.626, 0.747], [0.750, 0.250, 0.500], [0.250, 0.750, 0.500]]
}

---

(10)
{
  "formula": "SnB",
  "functional": "GGA-PBE",
  "state": "optimized geometry",
  "vol_a3_per_atom": 22.3,
  "sg": "I4/m, No. 87",
  "e_tot_ev_per_cell": -70.61,
  "formation_enthalpy_0k_ev_per_atom": 0.927,
  "m_tot_mub_per_cell": 0.000,
  "mass_density_g_cm3": 4.8,
  "lattice_angstrom": [[9.840, 0.000, 0.000], [0.000, 9.840, 0.000], [0.000, 0.000, 3.689]],
  "species": ["Sn", "Sn", "Sn", "Sn", "Sn", "Sn", "Sn", "Sn", "B", "B", "B", "B", "B", "B", "B", "B"],
  "fractional_positions": [[0.391, 0.219, 0.000], [0.609, 0.781, 0.000], [0.781, 0.391, 0.000], [0.219, 0.609, 0.000], [0.891, 0.719, 0.500], [0.109, 0.281, 0.500], [0.281, 0.891, 0.500], [0.719, 0.109, 0.500], [0.382, 0.782, 0.000], [0.618, 0.218, 0.000], [0.218, 0.382, 0.000], [0.782, 0.618, 0.000], [0.882, 0.282, 0.500], [0.118, 0.718, 0.500], [0.718, 0.882, 0.500], [0.282, 0.118, 0.500]]
}

---

(11)
{
  "formula": "ZnMo",
  "functional": "GGA-PBE",
  "state": "optimized geometry",
  "vol_a3_per_atom": 15.0,
  "sg": "Cmmm, No. 65",
  "e_tot_ev_per_cell": -11.87,
  "formation_enthalpy_0k_ev_per_atom": 0.118,
  "m_tot_mub_per_cell": 0.000,
  "mass_density_g_cm3": 8.9,
  "lattice_angstrom": [[-0.844, 2.349, 0.909], [-2.335, -1.266, 0.023], [0.740, -1.292, 4.024]],
  "species": ["Mo", "Zn"],
  "fractional_positions": [[0.000, 0.000, 0.000], [0.500, 0.500, 0.500]]
}

---

(12)
{
  "formula": "ZrMo2C",
  "functional": "GGA-PBE",
  "state": "optimized geometry",
  "vol_a3_per_atom": 15.2,
  "sg": "R-3m, No. 166",
  "e_tot_ev_per_cell": -39.57,
  "formation_enthalpy_0k_ev_per_atom": -0.035,
  "m_tot_mub_per_cell": 0.000,
  "mass_density_g_cm3": 8.0,
  "lattice_angstrom": [[7.454, -0.002, -0.001], [6.802, 3.049, -0.001], [6.802, 1.454, 2.680]],
  "species": ["Mo", "Mo", "C", "Zr"],
  "fractional_positions": [[0.030, 0.030, 0.030], [0.470, 0.470, 0.470], [0.750, 0.750, 0.750], [0.250, 0.250, 0.250]]
}